(1)
## CsMo3I3Cl4 (GGA-PBE)

Data for an optimized crystal structure of CsMo3I3Cl4.

Cell and atoms, written as CIF:
```
data_CsMo3I3Cl4
_space_group_name_H-M_alt 'P 3 1 c'
_space_group_IT_number 159
_cell_length_a 10.5969
_cell_length_b 10.5969
_cell_length_c 17.2648
_cell_angle_alpha 90.00
_cell_angle_beta 90.00
_cell_angle_gamma 120.00
loop_
_space_group_symop_operation_xyz
'x,y,z'
'-y,x-y,z'
'-x+y,-x,z'
'y,x,z+1/2'
'x-y,-y,z+1/2'
'-x,-x+y,z+1/2'
loop_
_atom_site_label
_atom_site_fract_x
_atom_site_fract_y
_atom_site_fract_z
_atom_site_occupancy
Cs1 0.0000 0.0000 0.0000 1
Cs2 0.3333 0.6667 0.2524 1
Mo1 0.1883 0.6640 0.8150 1
Mo2 0.1894 0.5232 0.6909 1
I1 0.0413 0.3493 0.1021 1
I2 0.0437 0.6888 0.4039 1
Cl1 0.0635 0.6692 0.6931 1
Cl2 0.0656 0.3923 0.8128 1
Cl3 0.3333 0.6667 0.5769 1
Cl4 0.3333 0.6667 0.9291 1
```

Size of the total moment, μB per cell: 0.000
Formation energy from raw total energies, eV per atom: -0.901
VASP energy, eV per atom: -5.03

---

(2)
## CsMo2ICl (GGA-PBE)

Data for an optimized crystal structure of CsMo2ICl.

Cell and atoms, written as CIF:
```
data_CsMo2ICl
_space_group_name_H-M_alt 'P 4/m m m'
_space_group_IT_number 123
_space_group_name_Hall '-P 4 2'
_cell_length_a 5.785
_cell_length_b 5.785
_cell_length_c 6.414
_cell_angle_alpha 90.00
_cell_angle_beta 90.00
_cell_angle_gamma 90.00
loop_
_atom_site_label
_atom_site_fract_x
_atom_site_fract_y
_atom_site_fract_z
_atom_site_occupancy
Cs1 0.000 0.000 0.000 1
Mo1 0.000 0.500 0.000 1
I1 0.000 0.000 0.500 1
Cl1 0.500 0.500 0.500 1
```

Size of the total moment, μB per cell: 10.259
Formation energy from raw total energies, eV per atom: 2.284
VASP energy, eV per atom: -2.90

---

(3)
## CsNaICl6 (GGA-PBE)

Data for an optimized crystal structure of CsNaICl6.

Cell and atoms, written as CIF:
```
data_CsNaICl6
_space_group_name_H-M_alt 'C 1 2 1'
_space_group_IT_number 5
_cell_length_a 7.592
_cell_length_b 11.839
_cell_length_c 7.765
_cell_angle_alpha 90.00
_cell_angle_beta 92.71
_cell_angle_gamma 90.00
loop_
_space_group_symop_operation_xyz
'x,y,z'
'-x,y,-z'
'x+1/2,y+1/2,z'
'-x+1/2,y+1/2,-z'
loop_
_atom_site_label
_atom_site_fract_x
_atom_site_fract_y
_atom_site_fract_z
_atom_site_occupancy
Cs1 0.000 0.000 0.000 1
Na1 0.000 0.692 0.500 1
I1 0.000 0.335 0.500 1
Cl1 0.140 0.489 0.680 1
Cl2 0.167 0.190 0.680 1
Cl3 0.201 0.804 0.743 1
```

Size of the total moment, μB per cell: 2.083
Formation energy from raw total energies, eV per atom: -0.880
VASP energy, eV per atom: -2.52

---

Question: The lowest VASP energy belongs to which entry?
Answer: CsMo3I3Cl4